# 1
Below is crystalline CdCoOs2I at its relaxed geometry, with properties calculated at the GGA-PBE level.

Unit cell a=5.0057 b=5.0057 c=4.7239 alpha=90.00 beta=90.00 gamma=90.00
With the nearest neighbours (Å) after each atom.
Sites, in units of the cell vectors:
Cd 0.0000 0.0000 0.0000  2 Co 2.36, 4 Os 2.50
Co 0.0000 0.0000 0.5000  2 Cd 2.36
Os 0.0000 0.5000 0.0000  2 Cd 2.50
Os 0.5000 0.0000 0.0000  2 Cd 2.50
I 0.5000 0.5000 0.5000  8 Os 3.44, 4 Co 3.54

Properties
As for the energy: -19.22 eV/f.u. The magnetic moment comes out at 6.02 μB per cell. As for the space group: P4/mmm. The value obtained for the uncorrected formation energy is 2562 meV per atom.

# 2
Below is crystalline CdCoPI2 at its relaxed geometry, with properties calculated at the GGA-PBE level.

Unit cell a=5.8560 b=5.8560 c=4.2446 alpha=90.00 beta=90.00 gamma=90.00
With the nearest neighbours (Å) after each atom.
Sites, in units of the cell vectors:
Cd 0.0000 0.0000 0.0000  8 I 3.62
Co 0.5000 0.5000 0.0000  2 P 2.12
P 0.5000 0.5000 0.5000  2 Co 2.12
I 0.0000 0.5000 0.5000  2 P 2.93
I 0.5000 0.0000 0.5000  2 P 2.93

Properties
The relative energy among the computed polymorphs comes out at 188 meV per atom. As for the energy: -14.50 eV/f.u. The magnetic moment comes out at 1.55 μB per cell. As for the space group: P4/mmm. The value obtained for the uncorrected formation energy is 407 meV per atom.